DFT (GGA-PBE) results for a relaxed CsTe5W3 crystal.

a b c (Å): 5.9844 5.9844 8.6659
angles (deg): 90.00 90.00 120.00
With the nearest neighbours (Å) after each atom.
Atoms (fractional coordinates):
Cs  0.0000  0.0000  0.0000  14 Te 4.08-4.33
Te  0.0000  0.0000  0.5000  6 W 2.99
Te  0.3333  0.6667  0.2503  3 W 2.77
Te  0.3333  0.6667  0.7497  3 W 2.77
Te  0.6667  0.3333  0.2503  3 W 2.77
Te  0.6667  0.3333  0.7497  3 W 2.77
W  0.0000  0.5000  0.5000  6 Te 2.77-2.99, 4 W 2.99
W  0.5000  0.0000  0.5000  6 Te 2.77-2.99, 4 W 2.99
W  0.5000  0.5000  0.5000  6 Te 2.77-2.99, 4 W 2.99

* VASP energy: -54.22 eV per cell
* symmetry: P6/mmm, No. 191


DFT (GGA-PBE) results for a relaxed ZnTcNiOs crystal.

a b c (Å): 4.2412 4.2412 4.2412
angles (deg): 60.00 60.00 60.00
With the nearest neighbours (Å) after each atom.
Atoms (fractional coordinates):
Zn  0.0000  0.0000  0.0000  4 Tc 2.60, 4 Ni 2.60
Tc  0.7500  0.7500  0.7500  4 Os 2.60, 4 Zn 2.60
Ni  0.2500  0.2500  0.2500  4 Os 2.60, 4 Zn 2.60
Os  0.5000  0.5000  0.5000  4 Tc 2.60, 4 Ni 2.60

* E_form: 181 meV/atom
* VASP energy: -27.69 eV per cell
* symmetry: F-43m, No. 216


DFT (GGA-PBE) results for a relaxed CdCoAgPb crystal.

a b c (Å): 4.7633 4.7633 4.7633
angles (deg): 60.00 60.00 60.00
With the nearest neighbours (Å) after each atom.
Atoms (fractional coordinates):
Cd  0.0000  0.0000  0.0000  4 Co 2.92, 4 Ag 2.92
Co  0.7500  0.7500  0.7500  4 Cd 2.92, 4 Pb 2.92
Ag  0.2500  0.2500  0.2500  4 Cd 2.92, 4 Pb 2.92
Pb  0.5000  0.5000  0.5000  4 Co 2.92, 4 Ag 2.92

* VASP energy: -13.09 eV per cell
* energy above the lowest structure with this stoichiometry: 0.000 eV per formula unit
* symmetry: F-43m, No. 216


DFT (GGA-PBE) results for a relaxed RbSi5Ir3 crystal.

a b c (Å): 5.3236 5.3236 8.5259
angles (deg): 90.00 90.00 120.00
With the nearest neighbours (Å) after each atom.
Atoms (fractional coordinates):
Rb  0.0000  0.0000  0.0000  14 Si 3.84-4.26
Si  0.0000  0.0000  0.5000  6 Ir 2.66
Si  0.3333  0.6667  0.2701  3 Ir 2.49
Si  0.3333  0.6667  0.7299  3 Ir 2.49
Si  0.6667  0.3333  0.2701  3 Ir 2.49
Si  0.6667  0.3333  0.7299  3 Ir 2.49
Ir  0.0000  0.5000  0.5000  6 Si 2.49-2.66, 4 Ir 2.66
Ir  0.5000  0.0000  0.5000  6 Si 2.49-2.66, 4 Ir 2.66
Ir  0.5000  0.5000  0.5000  6 Si 2.49-2.66, 4 Ir 2.66

* VASP energy: -54.31 eV per cell
* symmetry: P6/mmm, No. 191


DFT (GGA-PBE) results for a relaxed CdSnAsP crystal.

a b c (Å): 7.3505 7.3505 7.3505
angles (deg): 131.35 130.98 71.56
With the nearest neighbours (Å) after each atom.
Atoms (fractional coordinates):
Cd  0.1342  0.3842  0.7500  2 P 2.60, 2 As 2.67
Cd  0.3658  0.1158  0.2500  2 P 2.60, 2 As 2.67
Sn  0.6268  0.8768  0.7500  2 P 2.56, 2 As 2.64
Sn  0.8732  0.6232  0.2500  2 P 2.56, 2 As 2.64
As  0.2500  0.4972  0.2472  2 Sn 2.64, 2 Cd 2.67
As  0.7500  0.0028  0.2528  2 Sn 2.64, 2 Cd 2.67
P  0.5114  0.2500  0.7614  2 Sn 2.56, 2 Cd 2.60
P  0.9886  0.7500  0.7386  2 Sn 2.56, 2 Cd 2.60

* VASP energy: -30.86 eV per cell
* symmetry: I2_12_12_1, No. 24


DFT (GGA-PBE) results for a relaxed LiScGaPd crystal.

a b c (Å): 4.4836 4.4836 4.4836
angles (deg): 60.00 60.00 60.00
With the nearest neighbours (Å) after each atom.
Atoms (fractional coordinates):
Li  0.0000  0.0000  0.0000  4 Sc 2.75, 4 Ga 2.75
Sc  0.7500  0.7500  0.7500  4 Pd 2.75, 4 Li 2.75
Ga  0.2500  0.2500  0.2500  4 Li 2.75, 4 Pd 2.75
Pd  0.5000  0.5000  0.5000  4 Sc 2.75, 4 Ga 2.75

* VASP energy: -19.11 eV per cell
* energy above the lowest structure with this stoichiometry: 0.000 eV per formula unit
* symmetry: F-43m, No. 216